This record from the Alexandria database describes crystalline Rb3InAg2F9 at its relaxed geometry. The functional is PBE.

Cell: 6.3507 6.3507 7.8446 Å, 90.00 90.00 120.00°
Closest atoms and distances in Å follow each position.
Positions (direct):
Rb: 0.0000 0.0000 0.0000  12 F 3.18-3.20
Rb: 0.3333 0.6667 0.6941  12 F 3.02-3.36
Rb: 0.6667 0.3333 0.3059  12 F 3.02-3.36
In: 0.0000 0.0000 0.5000  6 F 2.11
Ag: 0.3333 0.6667 0.1688  6 F 2.26-2.39
Ag: 0.6667 0.3333 0.8312  6 F 2.26-2.39
F: 0.0000 0.5000 0.0000  2 Ag 2.26
F: 0.1563 0.3127 0.3444  1 In 2.11
F: 0.1563 0.8437 0.3444  1 In 2.11
F: 0.3127 0.1563 0.6556  1 In 2.11
F: 0.5000 0.0000 0.0000  2 Ag 2.26
F: 0.5000 0.5000 0.0000  2 Ag 2.26
F: 0.6873 0.8437 0.3444  1 In 2.11
F: 0.8437 0.1563 0.6556  1 In 2.11
F: 0.8437 0.6873 0.6556  1 In 2.11

Properties
Uncorrected energy (eV/cell): -61.1
SG: P-3m1 (164)